Here is Tm2PbO after structural relaxation from Alexandria via LeMat-Bulk. Energies are from GGA-PBE.

Output
Magnetic moment (μB/f.u.): 0.000
Energy relative to the elements, uncorrected (eV per atom): -1.55
Density of states at the Fermi level (states/eV per cell): 1.41
Calculated total energy (eV per atom): -5.956

Cell lengths 3.518, 3.518, 7.901 Å; angles 77.14, 77.14, 60.00 degrees
Fractional coordinates of all 4 atoms:
Pb 0.500 0.500 0.500
Tm 0.278 0.278 0.166
Tm 0.722 0.722 0.834
O 0.000 0.000 0.000